No. 1
# Cr2AgAs

Cr2AgAs after structural relaxation (PBE-GGA, the Alexandria database).

```
4
Lattice="4.353 -1.513 0.000 4.353 1.513 0.000 -0.779 0.000 4.927" Properties=species:S:1:pos:R:3 pbc="T T T"
Cr 0.000 0.000 0.000
Cr 6.228 0.000 0.949
Ag 1.589 0.000 3.528
As 3.836 0.000 2.069
```

Computed properties:
Total moment in Bohr magnetons per cell: 0.01
Symmetry: Cm, No. 8

No. 2
# CrAg2As

CrAg2As after structural relaxation (PBE-GGA, the Alexandria database).

```
4
Lattice="2.721 -4.397 0.000 2.721 4.397 0.000 0.000 0.000 3.007" Properties=species:S:1:pos:R:3 pbc="T T T"
Cr 0.000 0.000 0.000
Ag 1.361 2.199 1.504
Ag 1.361 -2.199 1.504
As 2.721 0.000 0.000
```

Computed properties:
Total moment in Bohr magnetons per cell: 4.01
Symmetry: Cmmm, No. 65

No. 3
# CrAg2As

CrAg2As after structural relaxation (PBE-GGA, the Alexandria database).

```
4
Lattice="3.164 0.000 0.000 0.000 4.107 0.000 0.000 0.000 5.476" Properties=species:S:1:pos:R:3 pbc="T T T"
Cr 0.000 0.000 0.000
Ag 1.582 2.053 1.344
Ag 1.582 2.053 4.132
As 0.000 0.000 2.738
```

Computed properties:
Total moment in Bohr magnetons per cell: 3.85
Symmetry: Pmmm, No. 47

No. 4
# CrAgAs

CrAgAs after structural relaxation (PBE-GGA, the Alexandria database).

```
6
Lattice="4.069 0.000 0.000 0.000 4.069 0.000 0.000 0.000 6.183" Properties=species:S:1:pos:R:3 pbc="T T T"
Cr 1.017 3.052 0.000
Cr 3.052 1.017 0.000
Ag 1.017 1.017 2.131
Ag 3.052 3.052 4.052
As 1.017 1.017 4.785
As 3.052 3.052 1.398
```

Computed properties:
Total moment in Bohr magnetons per cell: 4.28
Symmetry: P4/nmm, No. 129
Excess energy over the best structure of this formula in the dataset in meV/atom: 0

No. 5
# CrAg4As

CrAg4As after structural relaxation (PBE-GGA, the Alexandria database).

```
6
Lattice="0.000 3.865 3.865 3.865 0.000 3.865 3.865 3.865 0.000" Properties=species:S:1:pos:R:3 pbc="T T T"
Cr 0.000 0.000 0.000
Ag 4.834 2.896 2.896
Ag 2.896 4.834 2.896
Ag 2.896 2.896 4.834
Ag 4.834 4.834 4.834
As 1.932 1.932 1.932
```

Computed properties:
Total moment in Bohr magnetons per cell: 4.50
Symmetry: F-43m, No. 216

No. 6
# CrAg2As2

CrAg2As2 after structural relaxation (PBE-GGA, the Alexandria database).

```
10
Lattice="6.221 0.000 0.000 0.000 6.221 0.000 0.000 0.000 4.701" Properties=species:S:1:pos:R:3 pbc="T T T"
Cr 0.000 0.000 0.000
Cr 3.111 3.111 0.000
Ag 1.421 1.690 2.351
Ag 1.690 4.801 2.351
Ag 4.531 1.421 2.351
Ag 4.801 4.531 2.351
As 0.896 4.006 0.000
As 2.215 0.896 0.000
As 4.006 5.326 0.000
As 5.326 2.215 0.000
```

Computed properties:
Total moment in Bohr magnetons per cell: 0.00
Symmetry: P4/mbm, No. 127

No. 7
# CrAgAs2

CrAgAs2 after structural relaxation (PBE-GGA, the Alexandria database).

```
4
Lattice="4.073 0.000 0.000 0.000 3.598 0.000 -1.930 0.000 4.982" Properties=species:S:1:pos:R:3 pbc="T T T"
Cr 0.000 0.000 0.000
Ag 1.071 1.799 2.491
As -0.965 0.000 2.491
As 2.036 1.799 0.000
```

Computed properties:
Total moment in Bohr magnetons per cell: 3.44
Symmetry: P2/m, No. 10
Excess energy over the best structure of this formula in the dataset in meV/atom: 148

No. 8
# Cr2AgAs

Cr2AgAs after structural relaxation (PBE-GGA, the Alexandria database).

```
4
Lattice="3.026 0.000 0.000 0.000 3.026 0.000 0.000 0.000 6.868" Properties=species:S:1:pos:R:3 pbc="T T T"
Cr 0.000 0.000 0.000
Cr 1.513 1.513 1.260
Ag 0.000 0.000 3.137
As 1.513 1.513 5.381
```

Computed properties:
Total moment in Bohr magnetons per cell: 1.10
Symmetry: P4mm, No. 99

Number 1: E_form 303 meV/atom, VASP energy -25.536 eV for the cell shown. Number 2: E_form 370 meV/atom, VASP energy -18.497 eV for the cell shown. Number 3: E_form 288 meV/atom, VASP energy -18.824 eV for the cell shown. Number 4: E_form 27 meV/atom, VASP energy -34.087 eV for the cell shown. Number 5: E_form 383 meV/atom, VASP energy -23.382 eV for the cell shown. Number 6: E_form 248 meV/atom, VASP energy -46.772 eV for the cell shown. Number 7: E_form 203 meV/atom, VASP energy -20.960 eV for the cell shown. Number 8: E_form 240 meV/atom, VASP energy -25.789 eV for the cell shown.